1.
The following is a PBE calculation of crystalline K2Li3TlF12 at its relaxed geometry, from the Alexandria database.

Computed properties:
* magnetic moment: 4.00 μB/f.u.
* crystal system: trigonal
* formation energy (no corrections): -1915 meV/atom

a b c (Å): 7.3703 7.3703 7.3703
angles (deg): 57.24 57.24 57.24
Positions (direct):
Li: 0.0000 0.5000 0.0000
F: 0.8747 0.3496 0.3496
F: 0.6504 0.6504 0.1253
F: 0.3496 0.3496 0.8747
F: 0.9069 0.9069 0.3665
Li: 0.5000 0.0000 0.0000
F: 0.1253 0.6504 0.6504
F: 0.0931 0.0931 0.6335
F: 0.6504 0.1253 0.6504
F: 0.0931 0.6335 0.0931
F: 0.9069 0.3665 0.9069
K: 0.6221 0.6221 0.6221
F: 0.3665 0.9069 0.9069
F: 0.3496 0.8747 0.3496
F: 0.6335 0.0931 0.0931
Li: 0.0000 0.0000 0.5000
K: 0.3779 0.3779 0.3779
Tl: 0.0000 0.0000 0.0000



2.
The following is a PBE calculation of crystalline KLi2Tl2F7 at its relaxed geometry, from the Alexandria database.

Computed properties:
* magnetic moment: 0.00 μB/f.u.
* crystal system: tetragonal
* formation energy (no corrections): -2278 meV/atom

a b c (Å): 3.9025 3.9025 11.1925
angles (deg): 79.93 79.93 90.00
Positions (direct):
K: 0.0000 0.0000 0.0000
F: 0.2877 0.2877 0.4257
F: 0.7123 0.7123 0.5743
Tl: 0.1788 0.1788 0.6437
F: 0.6086 0.1084 0.7830
Li: 0.5878 0.5878 0.8242
F: 0.8916 0.3914 0.2170
F: 0.3914 0.8916 0.2170
F: 0.1084 0.6086 0.7830
Li: 0.4122 0.4122 0.1758
F: 0.5000 0.5000 0.0000
Tl: 0.8212 0.8212 0.3563



3.
The following is a PBE calculation of crystalline KLi2TlF6 at its relaxed geometry, from the Alexandria database.

Computed properties:
* magnetic moment: 0.00 μB/f.u.
* crystal system: trigonal
* formation energy (no corrections): -2470 meV/atom

a b c (Å): 5.6434 5.6414 5.9690
angles (deg): 61.78 61.77 60.01
Positions (direct):
Li: 0.0236 0.0238 0.9281
F: 0.2688 0.8912 0.2320
Tl: 0.3120 0.3120 0.0640
K: 0.7887 0.7884 0.6343
F: 0.7372 0.2013 0.7518
F: 0.2012 0.3095 0.7520
F: 0.3097 0.7373 0.7517
F: 0.6083 0.2687 0.2317
Li: 0.5207 0.5208 0.4379
F: 0.8914 0.6085 0.2317



4.
The following is a PBE calculation of crystalline K2LiTlF at its relaxed geometry, from the Alexandria database.

Computed properties:
* magnetic moment: 0.00 μB/f.u.
* crystal system: tetragonal
* formation energy (no corrections): -1019 meV/atom

a b c (Å): 6.4082 6.4082 3.7591
angles (deg): 90.00 90.00 90.00
Positions (direct):
K: 0.5000 0.0000 0.0000
F: 0.0000 0.0000 0.0000
Tl: 0.5000 0.5000 0.5000
Li: 0.0000 0.0000 0.5000
K: 0.0000 0.5000 0.0000



5.
The following is a PBE calculation of crystalline KLi2TmF6 at its relaxed geometry, from the Alexandria database.

Computed properties:
* magnetic moment: 0.00 μB/f.u.
* crystal system: triclinic
* formation energy (no corrections): -3385 meV/atom

a b c (Å): 5.7606 5.7606 6.2045
angles (deg): 62.31 62.30 60.00
Positions (direct):
F: 0.7222 0.1326 0.8072
Li: 0.0912 0.0916 0.7267
F: 0.9107 0.4970 0.2987
F: 0.1337 0.3392 0.8057
K: 0.8162 0.8166 0.5513
Li: 0.5417 0.5420 0.3739
F: 0.4978 0.2935 0.2977
F: 0.2936 0.9106 0.2968
Tm: 0.3161 0.3164 0.0513
F: 0.3385 0.7221 0.8058



6.
The following is a PBE calculation of crystalline K3Li2TmF9 at its relaxed geometry, from the Alexandria database.

Computed properties:
* magnetic moment: 1.14 μB/f.u.
* crystal system: trigonal
* formation energy (no corrections): -3006 meV/atom

a b c (Å): 5.8443 5.8443 7.4462
angles (deg): 90.00 90.00 120.00
Positions (direct):
F: 0.0000 0.5000 0.0000
F: 0.3375 0.1687 0.6710
F: 0.8313 0.1687 0.6710
F: 0.8313 0.6625 0.6710
Tm: 0.0000 0.0000 0.5000
F: 0.1687 0.8313 0.3290
Li: 0.3333 0.6667 0.1819
F: 0.5000 0.0000 0.0000
K: 0.0000 0.0000 0.0000
Li: 0.6667 0.3333 0.8181
F: 0.6625 0.8313 0.3290
F: 0.5000 0.5000 0.0000
K: 0.6667 0.3333 0.2986
F: 0.1687 0.3375 0.3290
K: 0.3333 0.6667 0.7014



7.
The following is a PBE calculation of crystalline KLiTmF5 at its relaxed geometry, from the Alexandria database.

Computed properties:
* magnetic moment: 0.15 μB/f.u.
* crystal system: monoclinic
* formation energy (no corrections): -3542 meV/atom

a b c (Å): 6.1575 6.1575 8.1540
angles (deg): 103.67 103.67 107.07
Positions (direct):
F: 0.7080 0.1023 0.3895
F: 0.0716 0.9284 0.2500
F: 0.2414 0.3668 0.5942
K: 0.6611 0.3389 0.7500
K: 0.3389 0.6611 0.2500
F: 0.1023 0.7080 0.8895
F: 0.6332 0.7586 0.9058
F: 0.9284 0.0716 0.7500
F: 0.2920 0.8977 0.6105
Tm: 0.0000 0.0000 0.0000
F: 0.7586 0.6332 0.4058
F: 0.8977 0.2920 0.1105
F: 0.3668 0.2414 0.0942
Tm: 0.0000 0.0000 0.5000
Li: 0.6850 0.3150 0.2500
Li: 0.3150 0.6850 0.7500



8.
The following is a PBE calculation of crystalline KLiUF6 at its relaxed geometry, from the Alexandria database.

Computed properties:
* magnetic moment: 2.00 μB/f.u.
* crystal system: tetragonal
* formation energy (no corrections): -3273 meV/atom

a b c (Å): 5.4081 5.4081 10.5933
angles (deg): 90.00 90.00 90.00
Positions (direct):
F: 0.7816 0.2184 0.8031
F: 0.3303 0.3303 0.0024
F: 0.6697 0.6697 0.0024
F: 0.7857 0.2143 0.1930
U: 0.0000 0.0000 0.6693
K: 0.0000 0.0000 0.0048
Li: 0.0000 0.0000 0.3289
F: 0.2857 0.2857 0.6930
F: 0.2143 0.7857 0.1930
F: 0.7143 0.7143 0.6930
F: 0.1697 0.8303 0.5024
F: 0.2816 0.2816 0.3031
F: 0.8303 0.1697 0.5024
K: 0.5000 0.5000 0.5048
F: 0.7184 0.7184 0.3031
U: 0.5000 0.5000 0.1693
F: 0.2184 0.7816 0.8031
Li: 0.5000 0.5000 0.8289